No. 1
A plane-wave DFT calculation with PBE with a Hubbard U was carried out for a relaxed TbV2CuO8 crystal.

total magnetic moment = 1.99 μB per cell
uncorrected energy = -7.0869 eV/atom

Cell lengths 5.7797, 5.7797, 5.8282 Å; angles 90.00, 90.00, 120.00 degrees
Closest atoms and distances in Å follow each position.
Fractional coordinates of all 12 atoms:
Tb 0.0000 0.0000 0.0000  6 O 2.28
V 0.3333 0.6667 0.6347  4 O 1.63-1.80
V 0.6667 0.3333 0.3653  4 O 1.63-1.80
Cu 0.0000 0.0000 0.5000  6 O 2.07
O 0.1610 0.3220 0.7228  1 V 1.80
O 0.1610 0.8390 0.7228  1 V 1.80
O 0.3220 0.1610 0.2772  1 V 1.80
O 0.3333 0.6667 0.3551  1 V 1.63
O 0.6667 0.3333 0.6449  1 V 1.63
O 0.6780 0.8390 0.7228  1 V 1.80
O 0.8390 0.1610 0.2772  1 V 1.80
O 0.8390 0.6780 0.2772  1 V 1.80

***

No. 2
A plane-wave DFT calculation with PBE with a Hubbard U was carried out for a relaxed TbCuW2O8 crystal.

total magnetic moment = 0.13 μB per cell
uncorrected energy = -7.3589 eV/atom

Cell lengths 7.1314, 7.3515, 7.4191 Å; angles 113.72, 116.05, 91.12 degrees
Closest atoms and distances in Å follow each position.
Fractional coordinates of all 24 atoms:
Tb 0.1829 0.2843 0.4547  6 O 2.25-2.45
Tb 0.8171 0.7157 0.5453  6 O 2.25-2.45
Cu 0.2682 0.6863 0.0701  3 O 1.94-2.11
Cu 0.7318 0.3137 0.9299  3 O 1.94-2.11
W 0.2532 0.2922 0.0189  3 O 1.82-1.89
W 0.3489 0.8873 0.7068  4 O 1.80-1.97
W 0.6511 0.1127 0.2932  4 O 1.80-1.97
W 0.7468 0.7078 0.9811  3 O 1.82-1.89
O 0.0290 0.3028 0.0824  1 W 1.85, 1 Cu 1.94
O 0.1311 0.9789 0.7965  2 W 1.97-2.09
O 0.1718 0.3283 0.7680  1 W 1.82
O 0.1806 0.6256 0.5507  1 W 1.84
O 0.2888 0.9857 0.5066  1 W 1.80
O 0.3826 0.1842 0.2642  2 W 1.94-2.12
O 0.4489 0.5463 0.2420  1 W 1.89, 1 Cu 2.00
O 0.4823 0.8283 0.0128  3 W 2.09-2.27, 1 Cu 2.11
O 0.5177 0.1717 0.9872  3 W 2.09-2.27, 1 Cu 2.11
O 0.5511 0.4537 0.7580  1 W 1.89, 1 Cu 2.00
O 0.6174 0.8158 0.7358  2 W 1.94-2.12
O 0.7112 0.0143 0.4934  1 W 1.80
O 0.8194 0.3744 0.4493  1 W 1.84
O 0.8282 0.6717 0.2320  1 W 1.82
O 0.8689 0.0211 0.2035  2 W 1.97-2.09
O 0.9710 0.6972 0.9176  1 W 1.85, 1 Cu 1.94

***

No. 3
A plane-wave DFT calculation with PBE with a Hubbard U was carried out for a relaxed TbCuW2O8 crystal.

total magnetic moment = 0.00 μB per cell
uncorrected energy = -7.3683 eV/atom

Cell lengths 5.1469, 6.0717, 6.1512 Å; angles 108.68, 91.80, 113.77 degrees
Closest atoms and distances in Å follow each position.
Fractional coordinates of all 12 atoms:
Tb 0.0000 0.0000 0.0000  6 O 2.29-2.33
Cu 0.5000 0.0000 0.5000  2 O 1.85
W 0.2496 0.4880 0.6656  4 O 1.82-1.99
W 0.7504 0.5120 0.3344  4 O 1.82-1.99
O 0.0199 0.2540 0.7838  1 W 1.82
O 0.0268 0.6918 0.6698  2 W 1.99-2.14
O 0.4659 0.2988 0.5276  1 Cu 1.85, 1 W 1.94
O 0.4872 0.2608 0.0774  1 W 1.82
O 0.5128 0.7392 0.9226  1 W 1.82
O 0.5341 0.7012 0.4724  1 Cu 1.85, 1 W 1.94
O 0.9732 0.3082 0.3302  2 W 1.99-2.14
O 0.9801 0.7460 0.2162  1 W 1.82